A plane-wave DFT calculation with PBE-GGA was carried out for crystalline NdTm2Ir at its relaxed geometry.

```
NdTm2Ir
1.0
-0.0960 3.8721 -1.3128
-2.5388 2.6890 1.7464
4.9862 4.1816 5.5987
Tm Nd Ir
2 1 1
direct
0.0540 0.0540 0.8379
0.2777 0.2777 0.1669
0.5025 0.5025 0.4926
0.6658 0.6658 0.0026
```

Output
Uncorrected energy ... -6.042 eV/atom
Energy of formation ... -399 meV/atom
ρ ... 9.4 g/cm3
Crystal system ... trigonal
Energy relative to the lowest polymorph listed for this composition ... 0.68 eV per formula unit

---

A plane-wave DFT calculation with PBE-GGA was carried out for crystalline CaS8Cl2 at its relaxed geometry.

```
CaS8Cl2
1.0
7.6979 -3.5513 -0.5568
-3.8291 7.5099 3.1988
-4.0694 3.1568 7.4342
S Cl Ca
8 2 1
direct
0.9196 0.1820 0.4262
0.1600 0.6293 0.2558
0.7942 0.8427 0.3154
0.0804 0.8180 0.5738
0.8400 0.3707 0.7442
0.6799 0.4750 0.4005
0.3201 0.5250 0.5995
0.2058 0.1573 0.6846
0.4723 0.2144 0.0944
0.5277 0.7856 0.9056
0.0000 0.0000 0.0000
```

Output
Uncorrected energy ... -3.780 eV/atom
ρ ... 2.1 g/cm3
Uncorrected formation energy ... -0.2607 eV per atom
Crystal system ... triclinic

---

A plane-wave DFT calculation with PBE-GGA was carried out for crystalline ZrSc2Tc at its relaxed geometry.

```
ZrSc2Tc
1.0
-3.7725 3.5535 2.8113
1.9238 -2.7381 6.0425
6.0665 5.8656 0.7266
Zr Sc Tc
4 8 4
direct
0.3907 0.4631 0.7500
0.1093 0.9631 0.7500
0.8907 0.0369 0.2500
0.6093 0.5369 0.2500
0.1598 0.6818 0.0596
0.1598 0.6818 0.4404
0.3402 0.1818 0.4404
0.6598 0.8182 0.5596
0.3402 0.1818 0.0596
0.6598 0.8182 0.9404
0.8402 0.3182 0.9404
0.8402 0.3182 0.5596
0.9673 0.6162 0.7500
0.4673 0.8838 0.2500
0.5327 0.1162 0.7500
0.0327 0.3838 0.2500
```

Output
Uncorrected energy ... -8.046 eV/atom
Energy of formation ... -152 meV/atom
ρ ... 5.4 g/cm3
Crystal system ... orthorhombic
Energy relative to the lowest polymorph listed for this composition ... 0.09 eV per formula unit

---

A plane-wave DFT calculation with PBE-GGA was carried out for crystalline MnPb2W at its relaxed geometry.

```
MnPb2W
1.0
3.5887 0.0000 0.0000
0.0000 4.7534 0.0000
0.0000 0.0000 4.7534
W Mn Pb
1 1 2
direct
0.5000 0.5000 0.0000
0.5000 0.0000 0.5000
0.0000 0.0000 0.0000
0.0000 0.5000 0.5000
```

Output
Uncorrected energy ... -6.438 eV/atom
Energy of formation ... 947 meV/atom
ρ ... 13.4 g/cm3
Crystal system ... tetragonal
Energy relative to the lowest polymorph listed for this composition ... 2.06 eV per formula unit

---

A plane-wave DFT calculation with PBE-GGA was carried out for crystalline BaBeCl at its relaxed geometry.

```
BaBeCl
1.0
-3.1482 4.2618 -5.0405
-1.2604 1.2997 -7.0872
-3.5888 -1.7132 -0.8438
Ba Cl Be
1 1 1
direct
0.9867 0.9867 0.0133
0.3825 0.3825 0.6175
0.6307 0.6307 0.3693
```

Output
Uncorrected energy ... -2.754 eV/atom
ρ ... 2.7 g/cm3
Uncorrected formation energy ... -0.2550 eV per atom
Crystal system ... orthorhombic
Energy relative to the lowest polymorph listed for this composition ... 1.89 eV per formula unit

---

A plane-wave DFT calculation with PBE-GGA was carried out for crystalline Ho2MnGa at its relaxed geometry.

```
Ho2MnGa
1.0
-1.7770 -3.3500 3.2786
3.1532 -2.4863 3.0009
0.1011 1.0018 4.9108
Mn Ho Ga
1 2 1
direct
0.0000 0.0000 0.0000
0.2500 0.2500 0.2500
0.7500 0.7500 0.7500
0.5000 0.5000 0.5000
```

Output
Uncorrected energy ... -5.506 eV/atom
Energy of formation ... -168 meV/atom
ρ ... 8.5 g/cm3
Crystal system ... cubic
Energy relative to the lowest polymorph listed for this composition ... 0.15 eV per formula unit

---

A plane-wave DFT calculation with PBE-GGA was carried out for crystalline Ac3PmSm3 at its relaxed geometry.

```
Ac3PmSm3
1.0
-8.6522 4.7279 1.8066
-8.6445 -5.0628 -0.3428
-5.2294 -1.4356 6.5206
Sm Pm Ac
6 2 6
direct
0.6007 0.4670 0.7497
0.5330 0.8175 0.2503
0.1825 0.6007 0.7497
0.3993 0.5330 0.2503
0.4670 0.1825 0.7497
0.8175 0.3993 0.2503
0.7440 0.7440 0.7681
0.2560 0.2560 0.2319
0.6754 0.1140 0.2526
0.9580 0.6754 0.2526
0.1140 0.9580 0.2526
0.8860 0.0420 0.7474
0.0420 0.3246 0.7474
0.3246 0.8860 0.7474
```

Output
Uncorrected energy ... -4.418 eV/atom
Energy of formation ... 44 meV/atom
ρ ... 7.9 g/cm3
Crystal system ... trigonal

---

A plane-wave DFT calculation with PBE-GGA was carried out for crystalline CrCo3Tc at its relaxed geometry.

```
CrCo3Tc
1.0
-0.0962 -3.3554 2.4057
3.4465 1.2596 1.8947
-2.2731 2.0518 2.7709
Co Tc Cr
3 1 1
direct
0.0000 0.5000 0.0000
0.5000 0.0000 0.0000
0.0000 0.0000 0.5000
0.5000 0.5000 0.5000
0.0000 0.0000 0.0000
```

Output
Uncorrected energy ... -6.967 eV/atom
Energy of formation ... 1294 meV/atom
ρ ... 7.7 g/cm3
Crystal system ... cubic
Energy relative to the lowest polymorph listed for this composition ... 0.00 eV per formula unit

---

A plane-wave DFT calculation with PBE-GGA was carried out for crystalline PrHf2Zr at its relaxed geometry.

```
PrHf2Zr
1.0
-0.2726 0.7704 -3.7071
-1.6565 -3.3663 -0.5778
-6.3909 2.9587 1.0848
Zr Pr Hf
1 1 2
direct
0.5000 0.5000 0.0000
0.5000 0.5000 0.5000
0.0000 0.0000 0.2059
0.0000 0.0000 0.7941
```

Output
Uncorrected energy ... -8.125 eV/atom
Energy of formation ... 184 meV/atom
ρ ... 9.5 g/cm3
Crystal system ... tetragonal
Energy relative to the lowest polymorph listed for this composition ... 0.00 eV per formula unit

---

A plane-wave DFT calculation with PBE-GGA was carried out for crystalline LiCa2AgO at its relaxed geometry.

```
LiCa2AgO
1.0
4.8290 0.0000 0.0000
0.0000 4.8290 0.0000
0.0000 0.0000 4.2226
Ag Ca Li O
1 2 1 1
direct
0.5000 0.5000 0.5000
0.0000 0.5000 0.0000
0.5000 0.0000 0.0000
0.0000 0.0000 0.5000
0.0000 0.0000 0.0000
```

Output
Uncorrected energy ... -3.956 eV/atom
ρ ... 3.6 g/cm3
Uncorrected formation energy ... -1.2111 eV per atom
Crystal system ... tetragonal

---

A plane-wave DFT calculation with PBE-GGA was carried out for crystalline SiMo2Pb at its relaxed geometry.

```
SiMo2Pb
1.0
3.1553 0.0000 0.0000
0.0000 3.2110 0.0654
0.0000 2.0825 7.1975
Pb Mo Si
1 2 1
direct
0.5000 0.2500 0.2500
0.0000 0.1224 0.9286
0.0000 0.3776 0.5714
0.5000 0.7500 0.7500
```

Output
Uncorrected energy ... -7.462 eV/atom
ρ ... 9.8 g/cm3
Uncorrected formation energy ... 0.2365 eV per atom
Crystal system ... monoclinic
Energy relative to the lowest polymorph listed for this composition ... 0.31 eV per formula unit

---

A plane-wave DFT calculation with PBE-GGA was carried out for crystalline Na2CuSO6 at its relaxed geometry.

```
Na2CuSO6
1.0
4.9323 0.0000 0.0000
0.0000 5.4330 0.0000
0.0000 -2.7165 4.7051
O S Na Cu
6 1 2 1
direct
0.7967 0.1420 0.8580
0.2033 0.8580 0.1420
0.2033 0.2841 0.1420
0.7967 0.7159 0.8580
0.7967 0.1420 0.2841
0.2033 0.8580 0.7159
0.0000 0.0000 0.0000
0.1478 0.3333 0.6667
0.8522 0.6667 0.3333
0.5000 0.0000 0.0000
```

Output
Uncorrected energy ... -4.972 eV/atom
ρ ... 3.1 g/cm3
Uncorrected formation energy ... -0.9107 eV per atom
Crystal system ... trigonal

---

A plane-wave DFT calculation with PBE-GGA was carried out for crystalline Ce12AlOs6 at its relaxed geometry.

```
Ce12AlOs6
1.0
8.4282 -0.8026 -0.9615
-2.0711 8.2091 -0.9615
-2.0711 -2.4130 7.9051
Al Ce Os
1 12 6
direct
0.0000 0.0000 0.0000
0.9750 0.1427 0.6817
0.6209 0.5360 0.8607
0.3183 0.0250 0.8573
0.8607 0.6209 0.5360
0.3791 0.4640 0.1393
0.1393 0.3791 0.4640
0.8573 0.3183 0.0250
0.6817 0.9750 0.1427
0.4640 0.1393 0.3791
0.1427 0.6817 0.9750
0.0250 0.8573 0.3183
0.5360 0.8607 0.6209
0.8116 0.3832 0.7023
0.6168 0.2977 0.1884
0.7023 0.8116 0.3832
0.2977 0.1884 0.6168
0.3832 0.7023 0.8116
0.1884 0.6168 0.2977
```

Output
Uncorrected energy ... -7.551 eV/atom
Energy of formation ... -60 meV/atom
ρ ... 9.6 g/cm3
Crystal system ... trigonal

---

A plane-wave DFT calculation with PBE-GGA was carried out for crystalline ScIr2Br at its relaxed geometry.

```
ScIr2Br
1.0
3.4283 0.0000 0.0000
0.0000 3.4551 -0.0217
0.0000 1.8232 7.3490
Sc Br Ir
1 1 2
direct
0.0000 0.5801 0.4623
0.5000 0.9640 0.6885
0.0000 0.7542 0.1234
0.5000 0.2017 0.2258
```

Output
Uncorrected energy ... -6.697 eV/atom
ρ ... 9.7 g/cm3
Uncorrected formation energy ... -0.2655 eV per atom
Crystal system ... monoclinic
Energy relative to the lowest polymorph listed for this composition ... 0.14 eV per formula unit

---

A plane-wave DFT calculation with PBE-GGA was carried out for crystalline NaSmYAl at its relaxed geometry.

```
NaSmYAl
1.0
-3.4945 1.2594 -3.8378
-4.9950 -1.8788 0.2152
-4.0548 3.3102 1.0619
Na Al Sm Y
1 1 1 1
direct
0.0000 0.0000 0.0000
0.5000 0.5000 0.5000
0.2500 0.2500 0.2500
0.7500 0.7500 0.7500
```

Output
Uncorrected energy ... -4.122 eV/atom
Energy of formation ... -61 meV/atom
ρ ... 4.5 g/cm3
Crystal system ... cubic

---

A plane-wave DFT calculation with PBE-GGA was carried out for crystalline AlZn2Ni4 at its relaxed geometry.

```
AlZn2Ni4
1.0
-1.5474 -2.7445 -3.7567
-0.8534 -2.3025 4.2438
-2.4069 4.2708 0.0815
Al Zn Ni
1 2 4
direct
0.0000 0.0000 0.0000
0.5000 0.0000 0.5000
0.5000 0.5000 0.0000
0.0000 0.0000 0.5000
0.5000 0.0000 0.0000
0.5000 0.5000 0.5000
0.0000 0.5000 0.0000
```

Output
Uncorrected energy ... -4.324 eV/atom
Energy of formation ... -121 meV/atom
ρ ... 7.2 g/cm3
Crystal system ... tetragonal

---

A plane-wave DFT calculation with PBE-GGA was carried out for crystalline CsTi2F8 at its relaxed geometry.

```
CsTi2F8
1.0
-2.9374 -1.9848 1.8388
6.0406 -5.3857 3.8554
-3.8552 7.7735 2.2514
F Ti Cs
8 2 1
direct
0.0000 0.6748 0.6748
0.9983 0.8827 0.5671
0.0000 0.3252 0.3252
0.5000 0.5974 0.4026
0.5000 0.4026 0.5974
0.9983 0.5671 0.8827
0.0017 0.1173 0.4329
0.0017 0.4329 0.1173
0.0000 0.6024 0.3976
0.0000 0.3976 0.6024
0.5000 0.0000 0.0000
```

Output
Uncorrected energy ... -6.149 eV/atom
ρ ... 2.8 g/cm3
Uncorrected formation energy ... -3.2749 eV per atom
Crystal system ... monoclinic
Energy relative to the lowest polymorph listed for this composition ... 0.00 eV per formula unit

---

A plane-wave DFT calculation with PBE-GGA was carried out for crystalline Tb3PrSm3 at its relaxed geometry.

```
Tb3PrSm3
1.0
8.2176 0.0000 0.0000
-2.7392 5.7877 0.0000
-2.7392 -2.8939 5.0123
Tb Sm Pr
3 3 1
direct
0.0156 0.5981 0.5981
0.4175 0.0000 0.4019
0.4175 0.4019 0.0000
0.9746 0.3605 0.0000
0.6142 0.6395 0.6395
0.9746 0.0000 0.3605
0.5610 0.0000 0.0000
```

Output
Uncorrected energy ... -4.461 eV/atom
Energy of formation ... 229 meV/atom
ρ ... 7.4 g/cm3
Crystal system ... trigonal
Energy relative to the lowest polymorph listed for this composition ... 0.15 eV per formula unit

---

A plane-wave DFT calculation with PBE-GGA was carried out for crystalline TmCo2Sn3 at its relaxed geometry.

```
TmCo2Sn3
1.0
-4.0945 4.9388 -1.2969
-4.0632 -2.1506 4.6384
4.6937 4.2854 1.5012
Sn Tm Co
6 2 4
direct
0.2765 0.1688 0.3377
0.7235 0.3377 0.1688
0.2765 0.6623 0.8312
0.2765 0.1688 0.8312
0.7235 0.8312 0.1688
0.7235 0.8312 0.6623
0.6898 0.3333 0.6667
0.3102 0.6667 0.3333
0.0000 0.0000 0.0000
0.0000 0.0000 0.5000
0.0000 0.5000 0.5000
0.0000 0.5000 0.0000
```

Output
Uncorrected energy ... -5.178 eV/atom
Energy of formation ... -63 meV/atom
ρ ... 8.8 g/cm3
Crystal system ... trigonal

---

A plane-wave DFT calculation with PBE-GGA was carried out for crystalline Ho2TmPb at its relaxed geometry.

```
Ho2TmPb
1.0
5.1873 0.0000 0.0000
2.5937 4.4924 0.0000
2.5937 1.4975 5.6420
Ho Pb Tm
2 1 1
direct
0.2715 0.2715 0.1854
0.0541 0.0541 0.8376
0.6854 0.6854 0.9437
0.4889 0.4889 0.5334
```

Output
Uncorrected energy ... -4.273 eV/atom
Energy of formation ... 61 meV/atom
ρ ... 8.9 g/cm3
Crystal system ... trigonal
Energy relative to the lowest polymorph listed for this composition ... 1.27 eV per formula unit